[1]
4
Lattice="1.728 0.998 6.829 -1.728 0.998 6.829 0.000 -1.996 6.829" Properties=species:S:1:pos:R:3 comment="NaIN2 | Alexandria | PBE | relaxed" final_energy_ev_per_cell=-14.09 e_above_lowest_polymorph_ev_per_atom=0.122 e_form_raw_ev_per_fu=5.43 density_g_cm3=4.180 pbc="T T T"
Na 0.000 0.000 0.000
I 0.000 0.000 10.244
N 0.000 0.000 2.248
N 0.000 0.000 18.240

***

[2]
17
Lattice="-4.339 4.339 4.339 4.339 -4.339 4.339 4.339 4.339 -4.339" Properties=species:S:1:pos:R:3 comment="Na4IN12 | Alexandria | PBE | relaxed" final_energy_ev_per_cell=-108.97 e_form_raw_ev_per_fu=-2.24 density_g_cm3=1.966 pbc="T T T"
Na 2.170 2.170 -2.170
Na 2.170 -2.170 2.170
Na -2.170 2.170 2.170
Na 2.170 2.170 2.170
I 0.000 0.000 0.000
N 3.767 0.000 1.855
N 4.912 0.000 1.855
N 4.339 2.484 -0.572
N 4.339 2.484 0.572
N 1.855 3.767 0.000
N 2.484 -0.572 4.339
N 1.855 4.912 0.000
N 2.484 0.572 4.339
N 0.000 1.855 3.767
N 0.000 1.855 4.912
N -0.572 4.339 2.484
N 0.572 4.339 2.484

***

- What is the formula in the first record?
  NaIN2

***

Copy entry 2 word for word.
17
Lattice="-4.339 4.339 4.339 4.339 -4.339 4.339 4.339 4.339 -4.339" Properties=species:S:1:pos:R:3 comment="Na4IN12 | Alexandria | PBE | relaxed" final_energy_ev_per_cell=-108.97 e_form_raw_ev_per_fu=-2.24 density_g_cm3=1.966 pbc="T T T"
Na 2.170 2.170 -2.170
Na 2.170 -2.170 2.170
Na -2.170 2.170 2.170
Na 2.170 2.170 2.170
I 0.000 0.000 0.000
N 3.767 0.000 1.855
N 4.912 0.000 1.855
N 4.339 2.484 -0.572
N 4.339 2.484 0.572
N 1.855 3.767 0.000
N 2.484 -0.572 4.339
N 1.855 4.912 0.000
N 2.484 0.572 4.339
N 0.000 1.855 3.767
N 0.000 1.855 4.912
N -0.572 4.339 2.484
N 0.572 4.339 2.484